No. 1
DFT (GGA-PBE) results for crystalline Y2VN4 at its relaxed geometry.

Computed properties:
- DOS at the Fermi energy: 5.86 states/eV/cell
- SG: P2_1/m, No. 11
- Raw total energy: -125.353 eV/cell
- Energy relative to the elements, uncorrected: -1.05 eV per atom
- ρ: 4.69 g/cm3
- V: 14.40 A^3/atom

Lattice parameters (Å, degrees): 5.6589 5.6760 6.5932 90.00 107.85 90.00
Fractional positions:
1 Y 0.6818 0.7500 0.0346
2 Y 0.3182 0.2500 0.9654
3 Y 0.2417 0.2500 0.4403
4 Y 0.7583 0.7500 0.5597
5 V 0.2346 0.7500 0.1949
6 V 0.7654 0.2500 0.8051
7 N 0.4550 0.5101 0.2511
8 N 0.0477 0.7500 0.9176
9 N 0.9523 0.2500 0.0824
10 N 0.4550 0.9899 0.2511
11 N 0.9774 0.2500 0.6499
12 N 0.5450 0.0101 0.7489
13 N 0.5450 0.4899 0.7489
14 N 0.0226 0.7500 0.3501

***

No. 2
DFT (GGA-PBE) results for crystalline LiScCu at its relaxed geometry.

Computed properties:
- E above lowest polymorph: 0.560 eV per atom
- DOS at the Fermi energy: 2.94 states/eV/cell
- SG: F-43m, No. 216
- Raw total energy: -10.856 eV/cell
- ρ: 3.13 g/cm3
- V: 20.38 A^3/atom
- Formation enthalpy at 0 K: 0.4953 eV/atom

Lattice parameters (Å, degrees): 4.4222 4.4222 4.4222 60.00 60.00 60.00
Fractional positions:
1 Cu 0.0000 0.0000 0.0000
2 Li 0.5000 0.5000 0.5000
3 Sc 0.7500 0.7500 0.7500

***

No. 3
DFT (GGA-PBE) results for crystalline PmGdAg4 at its relaxed geometry.

Computed properties:
- DOS at the Fermi energy: 5.61 states/eV/cell
- SG: F-43m, No. 216
- Raw total energy: -31.232 eV/cell
- ρ: 9.05 g/cm3
- V: 22.45 A^3/atom
- Formation enthalpy at 0 K: -0.1660 eV/atom

Lattice parameters (Å, degrees): 5.7536 5.7536 5.7536 60.00 60.00 60.00
Fractional positions:
1 Gd 0.2500 0.2500 0.2500
2 Ag 0.6248 0.6248 0.1255
3 Ag 0.6248 0.1255 0.6248
4 Ag 0.6248 0.6248 0.6248
5 Ag 0.1255 0.6248 0.6248
6 Pm 0.0000 0.0000 0.0000

***

No. 4
DFT (GGA-PBE) results for crystalline Tb6PmY2Sc3 at its relaxed geometry.

Computed properties:
- DOS at the Fermi energy: 17.15 states/eV/cell
- SG: C2/m, No. 12
- Raw total energy: -63.908 eV/cell
- ρ: 6.47 g/cm3
- V: 30.20 A^3/atom
- Formation enthalpy at 0 K: 0.0456 eV/atom

Lattice parameters (Å, degrees): 6.0755 6.0755 11.5121 95.04 95.04 119.97
Fractional positions:
1 Tb 0.9128 0.5798 0.7391
2 Tb 0.7541 0.7541 0.2607
3 Tb 0.0872 0.4202 0.2609
4 Tb 0.5798 0.9128 0.7391
5 Tb 0.2459 0.2459 0.7393
6 Tb 0.4202 0.0872 0.2609
7 Pm 0.0000 0.0000 0.0000
8 Y 0.3334 0.6666 0.0000
9 Y 0.6666 0.3334 0.0000
10 Sc 0.1668 0.8332 0.5000
11 Sc 0.8332 0.1668 0.5000
12 Sc 0.5000 0.5000 0.5000

***

No. 5
DFT (GGA-PBE) results for crystalline LaY8Er6 at its relaxed geometry.

Computed properties:
- DOS at the Fermi energy: 22.26 states/eV/cell
- SG: P-3, No. 147
- Raw total energy: -80.537 eV/cell
- ρ: 6.12 g/cm3
- V: 33.55 A^3/atom
- Formation enthalpy at 0 K: 0.2320 eV/atom

Lattice parameters (Å, degrees): 6.5171 9.4431 9.4431 120.00 90.00 90.00
Fractional positions:
1 La 0.5000 0.0000 0.0000
2 Y 0.9044 0.9721 0.3127
3 Y 0.9044 0.6873 0.6594
4 Y 0.9044 0.3406 0.0279
5 Y 0.0956 0.0279 0.6873
6 Y 0.0956 0.3127 0.3406
7 Y 0.0956 0.6594 0.9721
8 Y 0.8242 0.3333 0.6667
9 Y 0.1758 0.6667 0.3333
10 Er 0.5909 0.6785 0.0942
11 Er 0.5909 0.9058 0.5843
12 Er 0.5909 0.4157 0.3215
13 Er 0.4091 0.3215 0.9058
14 Er 0.4091 0.0942 0.4157
15 Er 0.4091 0.5843 0.6785

***

No. 6
DFT (GGA-PBE) results for crystalline Li6H2N at its relaxed geometry.

Computed properties:
- E above lowest polymorph: 0.019 eV per atom
- DOS at the Fermi energy: 1.35 states/eV/cell
- SG: Amm2, No. 38
- Raw total energy: -28.714 eV/cell
- ρ: 0.95 g/cm3
- V: 11.18 A^3/atom

Lattice parameters (Å, degrees): 3.4913 6.4258 5.5184 125.61 90.00 90.00
Fractional positions:
1 Li 0.5000 0.6202 0.0000
2 Li 0.5000 0.3009 0.3579
3 Li 0.5000 0.9430 0.6421
4 Li 0.0000 0.1740 0.0000
5 Li 0.0000 0.7263 0.7292
6 Li 0.0000 0.9971 0.2708
7 H 0.0000 0.3779 0.4471
8 H 0.0000 0.9308 0.5529
9 N 0.5000 0.9297 0.0000

***

No. 7
DFT (GGA-PBE) results for crystalline Tc at its relaxed geometry.

Computed properties:
- E above lowest polymorph: 0.000 eV per atom
- DOS at the Fermi energy: 1.25 states/eV/cell
- SG: P-3m1, No. 164
- Raw total energy: -20.732 eV/cell
- ρ: 11.18 g/cm3
- V: 14.56 A^3/atom
- Formation enthalpy at 0 K: 0.0000 eV/atom

Lattice parameters (Å, degrees): 2.7568 2.7568 4.4230 90.00 90.00 120.00
Fractional positions:
1 Tc 0.3333 0.6667 0.7507
2 Tc 0.6667 0.3333 0.2493

***

No. 8
DFT (GGA-PBE) results for crystalline RhBrO2F at its relaxed geometry.

Computed properties:
- DOS at the Fermi energy: 4.17 states/eV/cell
- SG: P4/mmm, No. 123
- Raw total energy: -17.589 eV/cell
- Energy relative to the elements, uncorrected: 0.64 eV per atom
- ρ: 4.88 g/cm3
- V: 15.92 A^3/atom

Lattice parameters (Å, degrees): 3.7763 3.7763 5.5832 90.00 90.00 90.00
Fractional positions:
1 Rh 0.5000 0.5000 0.5000
2 O 0.0000 0.5000 0.0000
3 O 0.5000 0.0000 0.0000
4 Br 0.0000 0.0000 0.0000
5 F 0.0000 0.0000 0.5000

***

No. 9
DFT (GGA-PBE) results for crystalline La3Tb2CeAs6 at its relaxed geometry.

Computed properties:
- DOS at the Fermi energy: 5.74 states/eV/cell
- SG: C2/m, No. 12
- Raw total energy: -76.317 eV/cell
- ρ: 6.66 g/cm3
- V: 27.53 A^3/atom
- Formation enthalpy at 0 K: -1.5369 eV/atom

Lattice parameters (Å, degrees): 7.3901 7.3901 7.4064 99.57 99.57 119.99
Fractional positions:
1 La 0.1667 0.8333 0.5000
2 La 0.8333 0.1667 0.5000
3 La 0.5000 0.5000 0.5000
4 Tb 0.3334 0.6666 0.0000
5 Tb 0.6666 0.3334 0.0000
6 Ce 0.0000 0.0000 0.0000
7 As 0.9207 0.5873 0.7620
8 As 0.7459 0.7459 0.2375
9 As 0.0793 0.4127 0.2380
10 As 0.5873 0.9207 0.7620
11 As 0.2541 0.2541 0.7625
12 As 0.4127 0.0793 0.2380

***

No. 10
DFT (GGA-PBE) results for crystalline RbCdIn2Ni at its relaxed geometry.

Computed properties:
- DOS at the Fermi energy: 2.52 states/eV/cell
- SG: P4/mmm, No. 123
- Raw total energy: -13.395 eV/cell
- ρ: 5.88 g/cm3
- V: 27.45 A^3/atom
- Formation enthalpy at 0 K: -0.0509 eV/atom

Lattice parameters (Å, degrees): 5.0959 5.0959 5.2862 90.00 90.00 90.00
Fractional positions:
1 Ni 0.0000 0.0000 0.0000
2 Cd 0.0000 0.0000 0.5000
3 Rb 0.5000 0.5000 0.5000
4 In 0.0000 0.5000 0.0000
5 In 0.5000 0.0000 0.0000

***

No. 11
DFT (GGA-PBE) results for crystalline SmEr2Ag3 at its relaxed geometry.

Computed properties:
- DOS at the Fermi energy: 2.98 states/eV/cell
- SG: P4/mmm, No. 123
- Raw total energy: -24.310 eV/cell
- ρ: 9.29 g/cm3
- V: 24.07 A^3/atom
- Formation enthalpy at 0 K: -0.3185 eV/atom

Lattice parameters (Å, degrees): 3.6135 3.6135 11.0620 90.00 90.00 90.00
Fractional positions:
1 Sm 0.5000 0.5000 0.5000
2 Er 0.5000 0.5000 0.8372
3 Er 0.5000 0.5000 0.1628
4 Ag 0.0000 0.0000 0.0000
5 Ag 0.0000 0.0000 0.6786
6 Ag 0.0000 0.0000 0.3214

***

No. 12
DFT (GGA-PBE) results for crystalline RbHg at its relaxed geometry.

Computed properties:
- DOS at the Fermi energy: 12.38 states/eV/cell
- SG: F-43m, No. 216
- Raw total energy: -4.631 eV/cell
- ρ: 3.37 g/cm3
- V: 70.47 A^3/atom
- Formation enthalpy at 0 K: 0.0558 eV/atom

Lattice parameters (Å, degrees): 8.2611 8.2611 8.2611 90.00 90.00 90.00
Fractional positions:
1 Rb 0.2500 0.2500 0.2500
2 Rb 0.2500 0.7500 0.7500
3 Rb 0.7500 0.2500 0.7500
4 Rb 0.7500 0.7500 0.2500
5 Hg 0.0000 0.0000 0.0000
6 Hg 0.0000 0.5000 0.5000
7 Hg 0.5000 0.0000 0.5000
8 Hg 0.5000 0.5000 0.0000